Record 1
This record from OQMD describes crystalline CsInIr at its relaxed geometry. The functional is PBE.

Output
- total magnetization (μB per formula unit) = 1.0
- energy relative to the lowest polymorph listed for this composition (eV per formula unit) = 2.56
- crystal system = cubic

a = 7.666 Å, b = 7.666 Å, c = 7.666 Å
α = 90.00°, β = 90.00°, γ = 90.00°
Space group F-43m (No. 216)
Inequivalent atoms, fractional coordinates:
Cs  0.000  0.000  0.000 x4
In  0.250  0.250  0.750 x4
Ir  0.250  0.250  0.250 x4

***

Record 2
This record from OQMD describes crystalline CsInIr at its relaxed geometry. The functional is PBE.

Output
- total magnetization (μB per formula unit) = 0.4
- energy relative to the lowest polymorph listed for this composition (eV per formula unit) = 0.00
- crystal system = cubic

a = 7.146 Å, b = 7.146 Å, c = 7.146 Å
α = 90.00°, β = 90.00°, γ = 90.00°
Space group F-43m (No. 216)
Inequivalent atoms, fractional coordinates:
Cs  0.000  0.000  0.000 x4
In  0.000  0.000  0.500 x4
Ir  0.250  0.250  0.250 x4

***

Record 3
This record from OQMD describes crystalline CsInSb2Ir at its relaxed geometry. The functional is PBE.

Output
- total magnetization (μB per formula unit) = 0.0
- final energy (eV/atom) = -4.21
- crystal system = tetragonal

a = 4.133 Å, b = 4.133 Å, c = 17.887 Å
α = 90.00°, β = 90.00°, γ = 90.00°
Space group I-4m2 (No. 119)
Inequivalent atoms, fractional coordinates:
Cs  0.000  0.000  0.000 x2
In  0.000  0.500  0.250 x2
Sb  0.000  0.000  0.358 x4
Ir  0.000  0.500  0.750 x2

***

Record 4
This record from OQMD describes crystalline CsLuIn at its relaxed geometry. The functional is PBE.

Output
- total magnetization (μB per formula unit) = 0.0
- energy relative to the lowest polymorph listed for this composition (eV per formula unit) = 1.29
- crystal system = cubic

a = 7.979 Å, b = 7.979 Å, c = 7.979 Å
α = 90.00°, β = 90.00°, γ = 90.00°
Space group F-43m (No. 216)
Inequivalent atoms, fractional coordinates:
Cs  0.000  0.000  0.000 x4
Lu  0.250  0.250  0.250 x4
In  0.250  0.250  0.750 x4

***

Record 5
This record from OQMD describes crystalline CsLuIn at its relaxed geometry. The functional is PBE.

Output
- total magnetization (μB per formula unit) = 0.0
- energy relative to the lowest polymorph listed for this composition (eV per formula unit) = 0.00
- crystal system = cubic

a = 8.092 Å, b = 8.092 Å, c = 8.092 Å
α = 90.00°, β = 90.00°, γ = 90.00°
Space group F-43m (No. 216)
Inequivalent atoms, fractional coordinates:
Cs  0.000  0.000  0.000 x4
Lu  0.000  0.000  0.500 x4
In  0.250  0.250  0.250 x4

***

Record 6
This record from OQMD describes crystalline CsLuInSe3 at its relaxed geometry. The functional is PBE.

Output
- total magnetization (μB per formula unit) = 0.0
- final energy (eV/atom) = -4.26
- crystal system = orthorhombic

a = 4.165 Å, b = 16.653 Å, c = 11.601 Å
α = 90.00°, β = 90.00°, γ = 90.00°
Space group Cmcm (No. 63)
Inequivalent atoms, fractional coordinates:
Cs  0.000  0.224  0.250 x4
Lu  0.000  0.500  0.000 x4
In  0.000  0.078  0.750 x4
Se  0.000  0.115  0.517 x8
Se  0.000  0.470  0.750 x4

***

Record 7
This record from OQMD describes crystalline Cs2NbInS6 at its relaxed geometry. The functional is PBE.

Output
- total magnetization (μB per formula unit) = 2.0
- energy relative to the lowest polymorph listed for this composition (eV per formula unit) = 0.00
- crystal system = trigonal

a = 7.3288 Å, b = 7.3288 Å, c = 37.1233 Å
α = 90.00°, β = 90.00°, γ = 120.00°
Space group R-3m (No. 166, hexagonal axes)
Inequivalent atoms, fractional coordinates:
Cs  0.0000  0.0000  0.1268 x6
Cs  0.0000  0.0000  0.2902 x6
Nb  0.0000  0.0000  0.4030 x6
In  0.0000  0.0000  0.0000 x3
In  0.0000  0.0000  0.5000 x3
S  0.0045  0.5022  0.2927 x18
S  0.0398  0.5199  0.1178 x18

***

Record 8
This record from OQMD describes crystalline Cs2NbInS6 at its relaxed geometry. The functional is PBE.

Output
- total magnetization (μB per formula unit) = 0.5
- energy relative to the lowest polymorph listed for this composition (eV per formula unit) = 5.25
- crystal system = tetragonal

a = 4.365 Å, b = 4.365 Å, c = 15.197 Å
α = 90.00°, β = 90.00°, γ = 90.00°
Space group P4/mmm (No. 123)
Inequivalent atoms, fractional coordinates:
Cs  0.000  0.000  0.221 x2
Nb  0.500  0.500  0.500 x1
In  0.500  0.500  0.000 x1
S  0.000  0.000  0.000 x1
S  0.000  0.000  0.500 x1
S  0.000  0.500  0.399 x4